[1]
DFT (PBE) results for a relaxed Li4Pr3In4 crystal.

Lattice parameters (Å, degrees): 5.0537 3.5026 15.9715 96.30 99.10 90.00
Positions (direct):
Li 0.7401 0.7401 0.4802
In 0.8147 0.3147 0.6293
Li 0.0929 0.5929 0.1859
In 0.1853 0.6853 0.3707
Pr 0.6423 0.1423 0.2845
Pr 0.0000 0.0000 0.0000
Li 0.9071 0.4071 0.8141
In 0.4506 0.4506 0.9011
Li 0.2599 0.2599 0.5198
In 0.5494 0.5494 0.0989
Pr 0.3577 0.8577 0.7155

The calculation puts the final energy at -0.1226 Ha/atom. Its formation energy is -33 kJ per mole of atoms. The calculation puts the total moment at 0.0 μB per cell.

***

[2]
DFT (PBE) results for a relaxed Li2PrIn2 crystal.

Lattice parameters (Å, degrees): 3.1130 8.5564 8.5564 90.00 90.00 90.00
Site moments in Bohr magnetons follow the coordinates.
Positions (direct):
Pr 0.0000 0.5000 0.5000  0.13
In 0.5000 0.1762 0.6762  0.00
Li 0.0000 0.6183 0.1183  0.00
In 0.5000 0.6762 0.8238  0.00
Li 0.0000 0.1183 0.3817  0.00
Li 0.0000 0.8817 0.6183  0.00
Pr 0.0000 0.0000 0.0000  0.13
In 0.5000 0.8238 0.3238  0.00
Li 0.0000 0.3817 0.8817  0.00
In 0.5000 0.3238 0.1762  0.00

The calculation puts the final energy at -0.1152 Ha/atom. The polymorph energy (0 for the lowest one) comes out at 0.00 kcal/mol of atoms. Its formation energy is -31 kJ per mole of atoms. The calculation puts the total moment at 0.4 μB per cell.

***

[3]
DFT (PBE) results for a relaxed LiPrIn5 crystal.

Lattice parameters (Å, degrees): 4.7853 4.7853 7.7233 90.00 90.00 90.00
Positions (direct):
Li 0.0000 0.0000 0.5000
In 0.0000 0.5000 0.6997
In 0.0000 0.5000 0.3003
In 0.5000 0.5000 0.0000
In 0.5000 0.0000 0.3003
Pr 0.0000 0.0000 0.0000
In 0.5000 0.0000 0.6997

The calculation puts the final energy at -0.1189 Ha/atom. Its formation energy is -31 kJ per mole of atoms. The calculation puts the total moment at 0.0 μB per cell.

***

[4]
DFT (PBE) results for a relaxed LiPr12In3 crystal.

Lattice parameters (Å, degrees): 5.0273 5.0273 20.1895 90.00 90.00 90.00
Positions (direct):
Pr 0.5000 0.5000 0.2495
Pr 0.5000 0.5000 0.5000
In 0.0000 0.0000 0.2502
Pr 0.0000 0.5000 0.6250
Pr 0.5000 0.5000 0.0000
Li 0.0000 0.0000 0.0000
Pr 0.5000 0.0000 0.6250
In 0.0000 0.0000 0.7498
Pr 0.0000 0.5000 0.3750
In 0.0000 0.0000 0.5000
Pr 0.5000 0.5000 0.7505
Pr 0.0000 0.5000 0.1274
Pr 0.5000 0.0000 0.1274
Pr 0.5000 0.0000 0.3750
Pr 0.5000 0.0000 0.8726
Pr 0.0000 0.5000 0.8726

The calculation puts the final energy at -0.1613 Ha/atom. Its formation energy is -17 kJ per mole of atoms. The calculation puts the total moment at 0.0 μB per cell.

***

[5]
DFT (PBE) results for a relaxed LiPr4In3 crystal.

Lattice parameters (Å, degrees): 5.4991 5.4991 9.5626 73.29 73.29 60.00
Positions (direct):
Pr 0.6239 0.6239 0.1284
Pr 0.3761 0.3761 0.8716
Pr 0.8748 0.8748 0.3757
Li 0.0000 0.0000 0.0000
Pr 0.1252 0.1252 0.6242
In 0.7456 0.7456 0.7631
In 0.2544 0.2544 0.2369
In 0.5000 0.5000 0.5000

The calculation puts the final energy at -0.1484 Ha/atom. Its formation energy is -37 kJ per mole of atoms. The calculation puts the total moment at 0.0 μB per cell.

***

[6]
DFT (PBE) results for a relaxed LiPr4In12 crystal.

Lattice parameters (Å, degrees): 8.2953 8.2953 8.2953 109.47 109.47 109.47
Positions (direct):
In 0.7500 0.5000 0.2500
In 0.7500 0.2500 0.5000
Li 0.0000 0.0000 0.0000
In 0.2830 0.2830 0.0000
Pr 0.0000 0.0000 0.5000
In 0.7170 0.7170 0.0000
Pr 0.0000 0.5000 0.0000
In 0.7170 0.0000 0.7170
In 0.2500 0.7500 0.5000
Pr 0.5000 0.0000 0.0000
In 0.2500 0.5000 0.7500
In 0.0000 0.2830 0.2830
In 0.2830 0.0000 0.2830
Pr 0.5000 0.5000 0.5000
In 0.5000 0.2500 0.7500
In 0.5000 0.7500 0.2500
In 0.0000 0.7170 0.7170

The calculation puts the final energy at -0.1330 Ha/atom. Its formation energy is -43 kJ per mole of atoms. The calculation puts the total moment at 0.0 μB per cell.

***

[7]
DFT (PBE) results for a relaxed Li2Pr2In3 crystal.

Lattice parameters (Å, degrees): 4.6331 7.6841 10.5584 90.00 102.67 90.00
Positions (direct):
Pr 0.1580 0.2500 0.3160
Li 0.6907 0.5605 0.3814
Li 0.3093 0.4395 0.6186
Pr 0.8420 0.7500 0.6840
Pr 0.0511 0.7500 0.1022
Pr 0.9489 0.2500 0.8978
Li 0.3093 0.0605 0.6186
In 0.5651 0.4382 0.1303
In 0.4349 0.5618 0.8697
In 0.2222 0.7500 0.4445
Li 0.6907 0.9395 0.3814
In 0.4349 0.9382 0.8697
In 0.7778 0.2500 0.5555
In 0.5651 0.0618 0.1303

The calculation puts the final energy at -0.1261 Ha/atom. Its formation energy is -33 kJ per mole of atoms. The calculation puts the total moment at 0.0 μB per cell.

***

[8]
DFT (PBE) results for a relaxed Li4Pr3In2 crystal.

Lattice parameters (Å, degrees): 5.0665 5.0664 9.5399 90.00 90.00 120.00
Positions (direct):
Pr 0.6667 0.3333 0.4027
Pr 0.3333 0.6667 0.5973
Li 0.0000 0.0000 0.3271
Li 0.6667 0.3333 0.0908
Li 0.0000 0.0000 0.6729
In 0.3333 0.6667 0.2149
Li 0.3333 0.6667 0.9092
Pr 0.0000 0.0000 0.0000
In 0.6667 0.3333 0.7851

The calculation puts the final energy at -0.1205 Ha/atom. Its formation energy is -22 kJ per mole of atoms. The calculation puts the total moment at 0.0 μB per cell.

***

| no. | theoretical density (g cm⁻³) | N(E_F) (states/eV/atom) |
| --- | --- | --- |
| 1 | 5.45 | 0.58 |
| 2 | 5.60 | 0.56 |
| 3 | 6.78 | 0.22 |
| 4 | 6.65 | 1.55 |
| 5 | 6.43 | 1.17 |
| 6 | 7.36 | 0.12 |
| 7 | 5.80 | 1.29 |
| 8 | 5.33 | 0.49 |